(1)
Ca2TeSe: PBEsol geometry, meta-GGA SCAN.

The calculation puts the energy relative to the elements, uncorrected at -8.0 eV per formula unit. The density of states at the Fermi level comes out at 0.0 states/eV/f.u. The energy above the lowest structure with this stoichiometry comes out at 28 meV/atom.

The space group is P4/mmm (No. 123) and the conventional cell measures 4.316, 4.316 and 6.102 Å, with angles of 90.00, 90.00 and 90.00 degrees. The asymmetric unit holds Ca at (0.000, 0.000, 0.000), Ca at (0.500, 0.500, 0.500), Te at (0.000, 0.000, 0.500) and Se at (0.500, 0.500, 0.000).

(2)
SrLa2Tl: PBEsol geometry, meta-GGA SCAN.

The density of states at the Fermi level comes out at 3.7 states/eV/f.u. The energy above the lowest structure with this stoichiometry comes out at 40 meV/atom.

The space group is P4mm (No. 99) and the conventional cell measures 3.799, 3.799 and 9.590 Å, with angles of 90.00, 90.00 and 90.00 degrees. The asymmetric unit holds Sr at (0.000, 0.000, 0.000), La at (0.000, 0.000, 0.438), La at (0.500, 0.500, 0.689) and Tl at (0.500, 0.500, 0.226).

(3)
IrW2Br: PBEsol geometry, meta-GGA SCAN.

The calculation puts the energy relative to the elements, uncorrected at 5.5 eV per formula unit. The density of states at the Fermi level comes out at 3.1 states/eV/f.u. The energy above the lowest structure with this stoichiometry comes out at 769 meV/atom.

The space group is I4/mmm (No. 139) and the conventional cell measures 3.828, 3.828 and 8.699 Å, with angles of 90.00, 90.00 and 90.00 degrees. The asymmetric unit holds Ir at (0.000, 0.000, 0.000), W at (0.000, 0.500, 0.250) and Br at (0.000, 0.000, 0.500).

(4)
LiZrPS2: PBEsol geometry, meta-GGA SCAN.

The calculation puts the energy relative to the elements, uncorrected at -0.4 eV per formula unit. The density of states at the Fermi level comes out at 3.5 states/eV/f.u.

The space group is P4/mmm (No. 123) and the conventional cell measures 4.319, 4.319 and 4.264 Å, with angles of 90.00, 90.00 and 90.00 degrees. The asymmetric unit holds Li at (0.000, 0.000, 0.000), Zr at (0.500, 0.500, 0.500), P at (0.000, 0.000, 0.500) and S at (0.000, 0.500, 0.000).